Density functional theory data (PBE) for an optimized crystal structure of La8Y2Ho.

Its density is 6.09 g/cm3. The formation energy from the elements comes out at 0.10 eV per atom. The calculation puts the volume at 793.06 Å³ per cell.

Cell: 5.8211 8.2190 16.5763 Å, 90.00 90.00 90.00°
Closest atoms and distances in Å follow each position.
Space group Immm (No. 71)
One atom of each set of equivalent atoms:
La: 0.0000 0.0000 0.1643  8 La 3.61-3.85, 2 Y 3.65, 2 Ho 3.99
La: 0.0000 0.1993 0.3675  3 La 3.28-3.65, 1 Ho 3.31, 2 Y 3.53
La: 0.0000 0.2891 0.0000  7 La 3.47-3.65, 2 Ho 3.76, 2 Y 3.78
Y: 0.0000 0.5000 0.2024  10 La 3.53-3.78
Ho: 0.0000 0.5000 0.5000  4 La 3.31